No. 1
Here is crystalline Ba3PrC2N6 at its relaxed geometry from Alexandria. Energies are from GGA-PBE.

Values from the calculation:
Theoretical density = 5.17 Mg/m³
Raw formation energy = -0.610 eV/atom

Cell lengths 5.8836, 5.8836, 7.0808 Å; angles 90.00, 90.00, 120.00 degrees
With the nearest neighbours (Å) after each atom.
Element x y z (fractional)
1 Ba 0.0000 0.0000 0.0000  6 N 2.87
2 Ba 0.3333 0.6667 0.6778  1 C 2.83, 9 N 2.97-3.08
3 Ba 0.6667 0.3333 0.3222  1 C 2.83, 9 N 2.97-3.08
4 Pr 0.0000 0.0000 0.5000  6 N 2.52
5 C 0.3333 0.6667 0.2789  3 N 1.38
6 C 0.6667 0.3333 0.7211  3 N 1.38
7 N 0.1985 0.3970 0.2883  1 C 1.38
8 N 0.1985 0.8015 0.2883  1 C 1.38
9 N 0.3970 0.1985 0.7117  1 C 1.38
10 N 0.6030 0.8015 0.2883  1 C 1.38
11 N 0.8015 0.1985 0.7117  1 C 1.38
12 N 0.8015 0.6030 0.7117  1 C 1.38

No. 2
Here is crystalline BaPrC3N6 at its relaxed geometry from Alexandria. Energies are from GGA-PBE.

Values from the calculation:
Theoretical density = 2.71 Mg/m³
Raw formation energy = -0.452 eV/atom

Cell lengths 6.5824, 6.5824, 6.5824 Å; angles 105.98, 105.98, 105.98 degrees
With the nearest neighbours (Å) after each atom.
Element x y z (fractional)
1 Ba 0.0000 0.0000 0.0000  6 N 2.86
2 Pr 0.5000 0.5000 0.5000  6 N 2.49
3 C 0.0000 0.5043 0.4957  2 N 1.23
4 C 0.4957 0.0000 0.5043  2 N 1.23
5 C 0.5043 0.4957 0.0000  2 N 1.23
6 N 0.0798 0.3903 0.3820  1 C 1.23
7 N 0.3820 0.0798 0.3903  1 C 1.23
8 N 0.3903 0.3820 0.0798  1 C 1.23
9 N 0.6097 0.9202 0.6180  1 C 1.23
10 N 0.6180 0.6097 0.9202  1 C 1.23
11 N 0.9202 0.6180 0.6097  1 C 1.23

Please write out number 1 again, unchanged.
Here is crystalline Ba3PrC2N6 at its relaxed geometry from Alexandria. Energies are from GGA-PBE.

Values from the calculation:
Theoretical density = 5.17 Mg/m³
Raw formation energy = -0.610 eV/atom

Cell lengths 5.8836, 5.8836, 7.0808 Å; angles 90.00, 90.00, 120.00 degrees
With the nearest neighbours (Å) after each atom.
Element x y z (fractional)
1 Ba 0.0000 0.0000 0.0000  6 N 2.87
2 Ba 0.3333 0.6667 0.6778  1 C 2.83, 9 N 2.97-3.08
3 Ba 0.6667 0.3333 0.3222  1 C 2.83, 9 N 2.97-3.08
4 Pr 0.0000 0.0000 0.5000  6 N 2.52
5 C 0.3333 0.6667 0.2789  3 N 1.38
6 C 0.6667 0.3333 0.7211  3 N 1.38
7 N 0.1985 0.3970 0.2883  1 C 1.38
8 N 0.1985 0.8015 0.2883  1 C 1.38
9 N 0.3970 0.1985 0.7117  1 C 1.38
10 N 0.6030 0.8015 0.2883  1 C 1.38
11 N 0.8015 0.1985 0.7117  1 C 1.38
12 N 0.8015 0.6030 0.7117  1 C 1.38

> Among the records above, which one has the lowest raw formation energy?

Ba3PrC2N6